[1]
Material: ScTl2Ag
Method: DFT, PBE-GGA
State: relaxed

Cell lengths 3.6995, 3.6995, 7.0346 Å; angles 90.00, 90.00, 90.00 degrees
Last column: nearest neighbours and their distance in Å.
Element x y z (fractional)
Sc (0.0000, 0.0000, 0.0000)  4 Ag 2.99, 5 Tl 3.14-3.18
Tl (0.0000, 0.0000, 0.5485)  4 Ag 3.13, 1 Sc 3.18, 4 Tl 3.37
Tl (0.5000, 0.5000, 0.2469)  4 Sc 3.14, 1 Ag 3.19, 4 Tl 3.37
Ag (0.5000, 0.5000, 0.7934)  4 Sc 2.99, 5 Tl 3.13-3.19

Values from the calculation:
Calculated volume: 24.1 Å³/atom
Raw total energy: -3.525 eV per atom
Density of states at the Fermi level: 3.1 states/eV per cell
Total magnetic moment: 0.057 μB per formula unit
ΔH_f (0 K): -0.05 eV/atom

[2]
Material: SrSc3Sb2
Method: DFT, PBE-GGA
State: relaxed

Cell lengths 9.4975, 9.4975, 9.5125 Å; angles 118.21, 118.21, 27.39 degrees
Last column: nearest neighbours and their distance in Å.
Element x y z (fractional)
Sr (0.1338, 0.1338, 0.0813)  6 Sb 3.43-3.53
Sr (0.8662, 0.8662, 0.9187)  6 Sb 3.43-3.53
Sc (0.0521, 0.0521, 0.4022)  3 Sb 2.94-2.96, 7 Sc 3.18-3.26
Sc (0.3134, 0.3134, 0.5348)  4 Sb 2.97-3.11, 5 Sc 3.08-3.22
Sc (0.4113, 0.4113, 0.3325)  3 Sb 2.96-3.05, 6 Sc 3.20-3.27
Sc (0.5887, 0.5887, 0.6675)  3 Sb 2.96-3.05, 6 Sc 3.20-3.27
Sc (0.6866, 0.6866, 0.4652)  4 Sb 2.97-3.11, 5 Sc 3.08-3.22
Sc (0.9479, 0.9479, 0.5978)  3 Sb 2.94-2.96, 7 Sc 3.18-3.26
Sb (0.2097, 0.2097, 0.7101)  6 Sc 2.96-3.11
Sb (0.4822, 0.4822, 0.8200)  4 Sc 2.94-2.97, 1 Sb 3.16
Sb (0.5178, 0.5178, 0.1800)  4 Sc 2.94-2.97, 1 Sb 3.16
Sb (0.7903, 0.7903, 0.2899)  6 Sc 2.96-3.11

Values from the calculation:
Calculated volume: 28.7 Å³/atom
Raw total energy: -5.457 eV per atom
Density of states at the Fermi level: 12.3 states/eV per cell
Energy relative to the elements, uncorrected: -636 meV per atom
Total magnetic moment: 1.150 μB per formula unit

[3]
Material: ZrSi2Rh
Method: DFT, PBE-GGA
State: relaxed

Cell lengths 3.6738, 3.7132, 4.9910 Å; angles 90.00, 111.53, 90.00 degrees
Last column: nearest neighbours and their distance in Å.
Element x y z (fractional)
Zr (0.0000, 0.0000, 0.0000)  7 Si 2.56-2.78
Si (0.2760, 0.0000, 0.5507)  2 Si 2.45, 1 Zr 2.56, 4 Rh 2.65-2.66
Si (0.4484, 0.5000, 0.8960)  2 Si 2.45, 1 Rh 2.58, 4 Zr 2.66
Rh (0.7281, 0.5000, 0.4517)  7 Si 2.58-2.77

Values from the calculation:
Calculated volume: 15.8 Å³/atom
Raw total energy: -7.317 eV per atom
Density of states at the Fermi level: 2.6 states/eV per cell
Energy relative to the elements, uncorrected: -631 meV per atom
Total magnetic moment: 0.000 μB per formula unit

[4]
Material: Pm8OsAu2
Method: DFT, PBE-GGA
State: relaxed

Cell lengths 8.8388, 8.8388, 6.4875 Å; angles 106.33, 106.33, 125.38 degrees
Last column: nearest neighbours and their distance in Å.
Element x y z (fractional)
Pm (0.0000, 0.0000, 0.0000)  1 Os 2.74
Pm (0.0715, 0.8231, 0.4335)  1 Os 2.84, 1 Au 3.00
Pm (0.1061, 0.4885, 0.0930)  2 Au 3.08-3.26, 1 Os 3.37, 2 Pm 3.39-3.43
Pm (0.3647, 0.5935, 0.7439)  1 Os 2.97, 2 Au 3.02-3.17
Pm (0.4885, 0.1061, 0.0930)  2 Au 3.08-3.26, 1 Os 3.37, 2 Pm 3.39-3.43
Pm (0.5514, 0.5514, 0.3314)  1 Os 2.74
Pm (0.5935, 0.3647, 0.7439)  1 Os 2.97, 2 Au 3.02-3.17
Pm (0.8231, 0.0715, 0.4335)  1 Os 2.84, 1 Au 3.00
Os (0.2224, 0.2224, 0.8104)  6 Pm 2.74-2.97
Au (0.5482, 0.9649, 0.6565)  6 Pm 3.00-3.30
Au (0.9649, 0.5482, 0.6565)  6 Pm 3.00-3.30

Values from the calculation:
E above lowest polymorph: 0.065 eV/atom
Calculated volume: 29.7 Å³/atom
Raw total energy: -5.322 eV per atom
Density of states at the Fermi level: 12.5 states/eV per cell
Total magnetic moment: 0.000 μB per formula unit
ΔH_f (0 K): -0.25 eV/atom